No. 1
10
Lattice="-2.235 -3.570 3.260 -0.591 -3.374 -4.100 7.905 -5.687 3.541" Properties=species:S:1:pos:R:3 comment="La3CuAg (GGA-PBE, optimized geometry)" e_above_lowest_polymorph_kj_per_mol_atoms=0.0 crystal_system=orthorhombic formation_energy_ev_per_atom=-0.135 pbc="T T T"
La -0.798 -4.301 1.914
La 5.829 -7.167 3.318
La 2.519 -5.736 2.617
La 0.037 -4.209 -1.763
La 4.429 -10.645 2.901
La 3.346 -5.640 -1.062
Cu 0.526 -6.689 0.207
Cu 3.104 -8.257 4.608
Ag 3.904 -8.150 0.923
Ag 1.962 -3.227 0.632

No. 2
7
Lattice="-0.817 -3.118 2.625 4.958 -1.179 -3.148 2.170 4.717 6.279" Properties=species:S:1:pos:R:3 comment="La3Cu2Ag2 (GGA-PBE, optimized geometry)" crystal_system=monoclinic formation_energy_ev_per_atom=-0.240 pbc="T T T"
La 3.618 -0.153 0.945
La 2.693 0.573 4.811
La -0.409 -1.559 1.313
Cu 2.524 -2.951 0.572
Cu 3.788 3.371 5.184
Ag 5.282 -0.976 3.777
Ag 1.029 1.396 1.979

No. 3
7
Lattice="4.964 0.000 1.551 2.240 4.430 1.551 -0.051 -0.031 8.882" Properties=species:S:1:pos:R:3 comment="La4Cu2Ag (GGA-PBE, optimized geometry)" e_above_lowest_polymorph_kj_per_mol_atoms=0.0 crystal_system=trigonal formation_energy_ev_per_atom=-0.060 pbc="T T T"
Ag 0.000 0.000 0.000
Cu 5.343 3.286 9.058
Cu 1.810 1.113 2.926
La 6.226 3.829 6.230
La 0.927 0.570 5.753
La 4.449 2.736 3.200
La 2.704 1.663 8.784

No. 4
5
Lattice="4.898 0.000 0.000 0.000 4.898 0.000 0.000 0.000 4.898" Properties=species:S:1:pos:R:3 comment="LaCuAg3 (GGA-PBE, optimized geometry)" e_above_lowest_polymorph_kj_per_mol_atoms=0.0 crystal_system=cubic formation_energy_ev_per_atom=0.100 pbc="T T T"
Cu 0.000 0.000 0.000
Ag 0.000 2.449 0.000
Ag 0.000 0.000 2.449
Ag 2.449 0.000 0.000
La 2.449 2.449 2.449

No. 5
11
Lattice="-5.102 -1.255 0.739 1.641 -6.912 -0.410 3.201 3.303 8.668" Properties=species:S:1:pos:R:3 comment="La8Cu2Ag (GGA-PBE, optimized geometry)" crystal_system=monoclinic formation_energy_ev_per_atom=-0.088 pbc="T T T"
La 1.394 -1.436 7.184
La -2.322 0.303 3.532
La -1.076 -3.548 5.593
La -1.569 0.356 8.821
La 0.817 -1.316 3.404
La 2.063 -5.168 5.465
La -1.653 -3.428 1.814
La 1.310 -5.220 0.176
Cu -1.693 -0.724 6.134
Cu 1.433 -4.141 2.863
Ag -2.551 -0.628 0.369

No. 6
6
Lattice="0.000 4.525 4.525 4.525 0.000 4.525 4.525 4.525 0.000" Properties=species:S:1:pos:R:3 comment="La4CuAg (GGA-PBE, optimized geometry)" e_above_lowest_polymorph_kj_per_mol_atoms=62.1 crystal_system=cubic formation_energy_ev_per_atom=0.535 pbc="T T T"
La 3.392 5.658 5.658
La 5.658 5.658 3.392
La 5.658 3.392 5.658
La 3.392 3.392 3.392
Cu 0.000 0.000 0.000
Ag 6.787 6.787 6.787

What did the first record say?
10
Lattice="-2.235 -3.570 3.260 -0.591 -3.374 -4.100 7.905 -5.687 3.541" Properties=species:S:1:pos:R:3 comment="La3CuAg (GGA-PBE, optimized geometry)" e_above_lowest_polymorph_kj_per_mol_atoms=0.0 crystal_system=orthorhombic formation_energy_ev_per_atom=-0.135 pbc="T T T"
La -0.798 -4.301 1.914
La 5.829 -7.167 3.318
La 2.519 -5.736 2.617
La 0.037 -4.209 -1.763
La 4.429 -10.645 2.901
La 3.346 -5.640 -1.062
Cu 0.526 -6.689 0.207
Cu 3.104 -8.257 4.608
Ag 3.904 -8.150 0.923
Ag 1.962 -3.227 0.632